The following is a DFT calculation (GGA-PBE) of a geometry-optimized Zr3TiPd4 structure.

Structure (CIF):
```
data_Zr3TiPd4
_chemical_formula_sum 'Zr6 Ti2 Pd8'
_cell_length_a 5.269
_cell_length_b 8.945
_cell_length_c 6.943
_cell_angle_alpha 90.00
_cell_angle_beta 90.00
_cell_angle_gamma 90.00
_symmetry_space_group_name_H-M 'I m m 2'
_symmetry_Int_Tables_number 44
loop_
_symmetry_equiv_pos_as_xyz
'x,y,z'
'-x,-y,z'
'-x,y,z'
'x,-y,z'
'x+1/2,y+1/2,z+1/2'
'-x+1/2,-y+1/2,z+1/2'
'-x+1/2,y+1/2,z+1/2'
'x+1/2,-y+1/2,z+1/2'
loop_
_atom_site_label
_atom_site_type_symbol
_atom_site_fract_x
_atom_site_fract_y
_atom_site_fract_z
Zr1 Zr 0.000 0.000 0.000
Zr2 Zr 0.000 0.237 0.676
Ti1 Ti 0.000 0.500 0.161
Pd1 Pd 0.000 0.255 0.295
Pd2 Pd 0.249 0.000 0.364
```

Results
For the theoretical density, the calculation gives 7584 kg/m3. For the formation energy from the elements, the calculation gives -186 meV/atom. The electronic total energy comes out at -6.97 eV per atom.